Density functional theory data (PBE) for LiTa2Cd after structural relaxation.

Lattice parameters (Å, degrees): 4.8287 3.8339 3.8339 90.00 90.00 90.00
Atoms (fractional coordinates):
Ta 0.0000 0.5000 0.5000
Li 0.5000 0.0000 0.5000
Ta 0.0000 0.0000 0.0000
Cd 0.5000 0.5000 0.0000

Results
magnetization: 0.0 μB per cell
DFT formation energy: 1.39 eV per formula unit
electronic total energy: -6.286 eV per atom
space group: No. 123